[1]
The following is a DFT calculation (GGA-PBE) of an optimized crystal structure of AlCuCl4.

Properties
Calculated total energy, eV per cell: -41.44
Formation energy from raw total energies, meV per atom: -916.1

CIF file:
```
data_AlCuCl4
_chemical_formula_sum 'Al2 Cu2 Cl8'
_symmetry_space_group_name_H-M 'P 42/m m c'
_symmetry_Int_Tables_number 131
_symmetry_space_group_name_Hall '-P 4c 2'
_cell_length_a 6.8147
_cell_length_b 6.8147
_cell_length_c 8.1417
_cell_angle_alpha 90.00
_cell_angle_beta 90.00
_cell_angle_gamma 90.00
loop_
_atom_site_label
_atom_site_type_symbol
_atom_site_fract_x
_atom_site_fract_y
_atom_site_fract_z
Al1 Al 0.0000 0.5000 0.0000
Cu1 Cu 0.0000 0.0000 0.0000
Cl1 Cl 0.2291 0.2680 0.0000
```

---

[2]
The following is a DFT calculation (GGA-PBE) of an optimized crystal structure of PrNdMgAg.

Properties
Calculated total energy, eV per cell: -14.72
Excess energy over the best structure of this formula in the dataset, eV per atom: 0.000
ΔH_f (0 K), eV/atom: -0.181

CIF file:
```
data_PrNdMgAg
_chemical_formula_sum 'Pr1 Nd1 Mg1 Ag1'
_symmetry_space_group_name_H-M 'P 4 m m'
_symmetry_Int_Tables_number 99
_cell_length_a 3.8684
_cell_length_b 3.8684
_cell_length_c 7.4928
_cell_angle_alpha 90.00
_cell_angle_beta 90.00
_cell_angle_gamma 90.00
loop_
_symmetry_equiv_pos_as_xyz
'x,y,z'
'-y,x,z'
'-x,-y,z'
'y,-x,z'
'-x,y,z'
'y,x,z'
'x,-y,z'
'-y,-x,z'
loop_
_atom_site_label
_atom_site_type_symbol
_atom_site_fract_x
_atom_site_fract_y
_atom_site_fract_z
Pr1 Pr 0.0000 0.0000 0.0000
Nd1 Nd 0.0000 0.0000 0.4852
Mg1 Mg 0.5000 0.5000 0.7409
Ag1 Ag 0.5000 0.5000 0.2471
```

---

no.,total moment (μB/f.u.)
1,0.000
2,0.001